No. 1
The following is a GGA-PBEsol calculation of a relaxed Y2HfCrTe crystal, from Alexandria via LeMat-Bulk.

Size of the total moment   0.007 μB per cell
V   122.7 Å³/cell
Formation energy (no corrections)   0.531 eV/atom
Crystal system   tetragonal

Lattice parameters (Å, degrees): 5.0260 5.0260 4.8577 90.00 90.00 90.00
Closest atoms and distances in Å follow each position.
Space group P4/mmm (No. 123)
Inequivalent atoms, fractional coordinates:
Y  0.0000  0.5000  0.0000 x2  2 Cr 2.51
Hf  0.0000  0.0000  0.5000 x1  8 Y 3.49, 4 Te 3.55
Cr  0.5000  0.5000  0.0000 x1  2 Te 2.43, 4 Y 2.51
Te  0.5000  0.5000  0.5000 x1  2 Cr 2.43


No. 2
The following is a GGA-PBEsol calculation of a relaxed HfTiCr3 crystal, from Alexandria via LeMat-Bulk.

Size of the total moment   3.252 μB per cell
Energy   -8.8119 eV per atom
V   78.3 Å³/cell
Crystal system   cubic

Lattice parameters (Å, degrees): 4.2783 4.2783 4.2783 90.00 90.00 90.00
Closest atoms and distances in Å follow each position.
Space group Pm-3m (No. 221)
Inequivalent atoms, fractional coordinates:
Hf  0.0000  0.0000  0.0000 x1  12 Cr 3.03
Ti  0.5000  0.5000  0.5000 x1  6 Cr 2.14
Cr  0.0000  0.5000  0.5000 x3  2 Ti 2.14


No. 3
The following is a GGA-PBEsol calculation of a relaxed Hf2TlCr crystal, from Alexandria via LeMat-Bulk.

Size of the total moment   0.000 μB per cell
Energy   -8.2166 eV per atom
V   297.0 Å³/cell
Crystal system   cubic

Lattice parameters (Å, degrees): 6.6719 6.6719 6.6719 90.00 90.00 90.00
Closest atoms and distances in Å follow each position.
Space group Fm-3m (No. 225)
Inequivalent atoms, fractional coordinates:
Hf  0.2500  0.2500  0.2500 x8  4 Cr 2.89, 4 Tl 2.89
Tl  0.0000  0.0000  0.0000 x4  8 Hf 2.89
Cr  0.0000  0.0000  0.5000 x4  8 Hf 2.89


No. 4
The following is a GGA-PBEsol calculation of a relaxed Cr2Hg crystal, from Alexandria via LeMat-Bulk.

Size of the total moment   0.740 μB per cell
Polymorph energy (0 for the lowest one)   0.223 eV/atom
V   42.1 Å³/cell
Crystal system   hexagonal

Lattice parameters (Å, degrees): 4.2016 4.2016 2.7506 90.00 90.00 120.00
Closest atoms and distances in Å follow each position.
Space group P6/mmm (No. 191)
Inequivalent atoms, fractional coordinates:
Cr  0.3333  0.6667  0.0000 x2  3 Cr 2.43
Hg  0.0000  0.0000  0.5000 x1  2 Hg 2.75, 12 Cr 2.79


No. 5
The following is a GGA-PBEsol calculation of a relaxed CrHg crystal, from Alexandria via LeMat-Bulk.

Size of the total moment   8.065 μB per cell
Energy   -4.9924 eV per atom
V   202.9 Å³/cell
Crystal system   monoclinic

Lattice parameters (Å, degrees): 9.8167 3.1009 7.1424 90.00 111.08 90.00
Closest atoms and distances in Å follow each position.
Space group Cm (No. 8)
Inequivalent atoms, fractional coordinates:
Cr  0.0000  0.0000  0.0000 x2  2 Cr 2.43
Cr  0.0127  0.0000  0.4449 x2  2 Cr 2.50
Cr  0.3861  0.0000  0.1615 x2  4 Cr 2.43-2.50
Hg  0.1844  0.5000  0.8358 x2  7 Cr 2.89-3.11, 5 Hg 2.93-3.10
Hg  0.1955  0.5000  0.2954 x2  8 Cr 2.76-2.91, 2 Hg 2.94
Hg  0.3656  0.0000  0.6520 x2  4 Cr 2.82-2.87, 7 Hg 2.93-3.10


No. 6
The following is a GGA-PBEsol calculation of a relaxed Cr3Hg crystal, from Alexandria via LeMat-Bulk.

Size of the total moment   0.006 μB per cell
Energy   -7.2669 eV per atom
V   106.0 Å³/cell
Crystal system   orthorhombic

Lattice parameters (Å, degrees): 3.0684 4.2316 8.1612 90.00 90.00 90.00
Closest atoms and distances in Å follow each position.
Space group Immm (No. 71)
Inequivalent atoms, fractional coordinates:
Cr  0.0000  0.0000  0.0000 x2  4 Cr 2.39, 4 Hg 2.61
Cr  0.0000  0.5000  0.2750 x4  6 Cr 2.39-2.65
Hg  0.0000  0.0000  0.5000 x2  12 Cr 2.61-2.80


No. 7
The following is a GGA-PBEsol calculation of a relaxed CrHg crystal, from Alexandria via LeMat-Bulk.

Size of the total moment   3.945 μB per cell
Energy   -4.6967 eV per atom
V   37.3 Å³/cell
Crystal system   hexagonal

Lattice parameters (Å, degrees): 3.1497 3.1497 4.3463 90.00 90.00 120.00
Closest atoms and distances in Å follow each position.
Space group P-6m2 (No. 187)
Inequivalent atoms, fractional coordinates:
Cr  0.0000  0.0000  0.0000 x1  6 Hg 2.83, 6 Cr 3.15
Hg  0.6667  0.3333  0.5000 x1  6 Cr 2.83, 6 Hg 3.15


No. 8
The following is a GGA-PBEsol calculation of a relaxed Cr2Hg crystal, from Alexandria via LeMat-Bulk.

Size of the total moment   1.371 μB per cell
Polymorph energy (0 for the lowest one)   0.110 eV/atom
V   183.6 Å³/cell
Crystal system   monoclinic

Lattice parameters (Å, degrees): 10.3534 2.9484 6.1291 90.00 101.07 90.00
Closest atoms and distances in Å follow each position.
Space group Cm (No. 8)
Inequivalent atoms, fractional coordinates:
Cr  0.0000  0.0000  0.0000 x2  3 Cr 2.24-2.38
Cr  0.0747  0.0000  0.6803 x2  3 Cr 2.24-2.44
Cr  0.2145  0.5000  0.5083 x2  4 Cr 2.42-2.44
Cr  0.3582  0.0000  0.7595 x2  4 Cr 2.38-2.42
Hg  0.2237  0.5000  0.0391 x2  8 Cr 2.72-2.92, 4 Hg 2.95-2.96
Hg  0.4305  0.0000  0.3473 x2  8 Cr 2.72-3.00, 4 Hg 2.95-2.96


No. 9
The following is a GGA-PBEsol calculation of a relaxed Cr2Hg crystal, from Alexandria via LeMat-Bulk.

Size of the total moment   0.000 μB per cell
Polymorph energy (0 for the lowest one)   0.000 eV/atom
V   44.5 Å³/cell
Crystal system   trigonal

Lattice parameters (Å, degrees): 2.8634 2.8634 6.2602 90.00 90.00 120.00
Closest atoms and distances in Å follow each position.
Space group P-3m1 (No. 164)
Inequivalent atoms, fractional coordinates:
Cr  0.3333  0.6667  0.1181 x2  3 Cr 2.22
Hg  0.0000  0.0000  0.5000 x1  6 Hg 2.86, 6 Cr 2.91


No. 10
The following is a GGA-PBEsol calculation of a relaxed Cr3Hg crystal, from Alexandria via LeMat-Bulk.

Size of the total moment   0.000 μB per cell
Energy   -7.1094 eV per atom
V   161.1 Å³/cell
Crystal system   trigonal

Lattice parameters (Å, degrees): 8.4979 8.4979 2.5757 90.00 90.00 120.00
Closest atoms and distances in Å follow each position.
Space group R-3m (No. 166, hexagonal axes)
Inequivalent atoms, fractional coordinates:
Cr  0.0000  0.5000  0.0000 x9  6 Cr 2.58-2.60, 2 Hg 2.60
Hg  0.0000  0.0000  0.0000 x3  2 Hg 2.58, 6 Cr 2.60


No. 11
The following is a GGA-PBEsol calculation of a relaxed CrHgIO2 crystal, from Alexandria via LeMat-Bulk.

Size of the total moment   5.295 μB per cell
V   108.6 Å³/cell
Formation energy (no corrections)   0.579 eV/atom
Crystal system   tetragonal

Lattice parameters (Å, degrees): 4.0896 4.0896 6.4944 90.00 90.00 90.00
Closest atoms and distances in Å follow each position.
Space group P4/mmm (No. 123)
Inequivalent atoms, fractional coordinates:
Cr  0.0000  0.0000  0.0000 x1  4 I 2.89
Hg  0.5000  0.5000  0.5000 x1  4 O 2.04
I  0.5000  0.5000  0.0000 x1  4 Cr 2.89
O  0.0000  0.5000  0.5000 x2  2 Hg 2.04


No. 12
The following is a GGA-PBEsol calculation of a relaxed CrInHg2 crystal, from Alexandria via LeMat-Bulk.

Size of the total moment   3.664 μB per cell
Energy   -3.2900 eV per atom
V   78.5 Å³/cell
Crystal system   tetragonal

Lattice parameters (Å, degrees): 4.3220 4.3220 4.2033 90.00 90.00 90.00
Closest atoms and distances in Å follow each position.
Space group P4/mmm (No. 123)
Inequivalent atoms, fractional coordinates:
Cr  0.0000  0.0000  0.0000 x1  8 Hg 3.01, 4 In 3.06
In  0.5000  0.5000  0.0000 x1  8 Hg 3.01, 4 Cr 3.06
Hg  0.0000  0.5000  0.5000 x2  4 In 3.01, 4 Cr 3.01, 4 Hg 3.06